Version i
The following is a DFT calculation (PBE-GGA) of crystalline Pr3Ge2Pd3 at its relaxed geometry.

## Properties
M_tot (μB per atom): 0.000

a = 7.865 Å, b = 15.653 Å, c = 5.870 Å
α = 90.00°, β = 90.00°, γ = 90.00°
Space group Pnma (No. 62)
Unique sites:
Pr: 0.028 0.108 0.142 [8 per cell]
Pr: 0.162 0.250 0.632 [4 per cell]
Ge: 0.123 0.605 0.354 [8 per cell]
Pd: 0.171 0.032 0.594 [8 per cell]
Pd: 0.193 0.750 0.621 [4 per cell]

Version ii
The following is a DFT calculation (PBE-GGA) of crystalline Pr3Ge2Pd3 at its relaxed geometry.

## Properties
M_tot (μB per atom): 0.000

a = 4.441 Å, b = 10.696 Å, c = 15.200 Å
α = 90.00°, β = 90.00°, γ = 90.00°
Space group Cmcm (No. 63)
Unique sites:
Pr: 0.000 0.086 0.103 [8 per cell]
Pr: 0.000 0.381 0.250 [4 per cell]
Ge: 0.000 0.204 0.604 [8 per cell]
Pd: 0.000 0.329 0.750 [4 per cell]
Pd: 0.000 0.373 0.038 [8 per cell]

We find version i to be the most stable, with the next structure 0.022 eV/atom higher.

Version i
The following is a DFT calculation (PBE-GGA) of crystalline Pr2Ge3Pd2 at its relaxed geometry.

## Properties
M_tot (μB per atom): 0.000

a = 10.372 Å, b = 4.422 Å, c = 6.765 Å
α = 90.00°, β = 108.41°, γ = 90.00°
Space group C2/m (No. 12)
Unique sites:
Pr: 0.153 0.000 0.283 [4 per cell]
Ge: 0.000 0.500 0.500 [2 per cell]
Ge: 0.106 0.500 0.940 [4 per cell]
Pd: 0.146 0.000 0.770 [4 per cell]

Version ii
The following is a DFT calculation (PBE-GGA) of crystalline Pr2Ge3Pd2 at its relaxed geometry.

## Properties
M_tot (μB per atom): 0.000

a = 4.361 Å, b = 18.705 Å, c = 7.157 Å
α = 90.00°, β = 90.00°, γ = 90.00°
Space group Cmcm (No. 63)
Unique sites:
Pr: 0.000 0.054 0.250 [4 per cell]
Pr: 0.000 0.156 0.750 [4 per cell]
Ge: 0.000 0.223 0.250 [4 per cell]
Ge: 0.000 0.438 0.067 [8 per cell]
Pd: 0.000 0.305 0.550 [8 per cell]

We find version ii to be the most stable, with the next structure 0.137 eV/atom higher.

Version i
The following is a DFT calculation (PBE-GGA) of crystalline TbPrGePd at its relaxed geometry.

## Properties
M_tot (μB per atom): 0.000

a = 4.345 Å, b = 4.070 Å, c = 11.116 Å
α = 90.00°, β = 90.00°, γ = 90.00°
Space group Amm2 (No. 38)
Unique sites:
Tb: 0.000 0.000 0.000 [2 per cell]
Pr: 0.500 0.000 0.276 [2 per cell]
Ge: 0.000 0.000 0.712 [2 per cell]
Pd: 0.500 0.000 0.555 [2 per cell]

Version ii
The following is a DFT calculation (PBE-GGA) of crystalline TbPrGePd at its relaxed geometry.

## Properties
M_tot (μB per atom): 0.000

a = 7.257 Å, b = 7.257 Å, c = 7.257 Å
α = 90.00°, β = 90.00°, γ = 90.00°
Space group F-43m (No. 216)
Unique sites:
Tb: 0.000 0.000 0.000 [4 per cell]
Pr: 0.000 0.000 0.500 [4 per cell]
Ge: 0.250 0.250 0.750 [4 per cell]
Pd: 0.250 0.250 0.250 [4 per cell]

We find version i to be the most stable, with the next structure 0.093 eV/atom higher.

Version i
The following is a DFT calculation (PBE-GGA) of crystalline PrYGePd at its relaxed geometry.

## Properties
M_tot (μB per atom): 0.000

a = 7.252 Å, b = 7.252 Å, c = 7.252 Å
α = 90.00°, β = 90.00°, γ = 90.00°
Space group F-43m (No. 216)
Unique sites:
Pr: 0.000 0.000 0.000 [4 per cell]
Y: 0.000 0.000 0.500 [4 per cell]
Ge: 0.250 0.250 0.250 [4 per cell]
Pd: 0.250 0.250 0.750 [4 per cell]

Version ii
The following is a DFT calculation (PBE-GGA) of crystalline PrYGePd at its relaxed geometry.

## Properties
M_tot (μB per atom): 0.000

a = 4.359 Å, b = 4.068 Å, c = 11.062 Å
α = 90.00°, β = 90.00°, γ = 90.00°
Space group Amm2 (No. 38)
Unique sites:
Pr: 0.000 0.000 0.000 [2 per cell]
Y: 0.500 0.000 0.724 [2 per cell]
Ge: 0.500 0.000 0.435 [2 per cell]
Pd: 0.000 0.000 0.279 [2 per cell]

We find version ii to be the most stable, with the next structure 0.090 eV/atom higher.

Version i
The following is a DFT calculation (PBE-GGA) of crystalline GePd6Pt3 at its relaxed geometry.

## Properties
M_tot (μB per atom): 0.000

a = 8.802 Å, b = 3.949 Å, c = 8.889 Å
α = 90.00°, β = 93.53°, γ = 90.00°
Space group P2_1/m (No. 11)
Unique sites:
Ge: 0.083 0.250 0.369 [2 per cell]
Pd: 0.044 0.750 0.892 [2 per cell]
Pd: 0.111 0.250 0.664 [2 per cell]
Pd: 0.162 0.750 0.184 [2 per cell]
Pd: 0.236 0.750 0.489 [2 per cell]
Pd: 0.357 0.250 0.295 [2 per cell]
Pd: 0.454 0.750 0.096 [2 per cell]
Pt: 0.249 0.250 0.981 [2 per cell]
Pt: 0.339 0.750 0.790 [2 per cell]
Pt: 0.443 0.250 0.600 [2 per cell]

Version ii
The following is a DFT calculation (PBE-GGA) of crystalline GePd6Pt3 at its relaxed geometry.

## Properties
M_tot (μB per atom): 0.000

a = 9.7293 Å, b = 9.7293 Å, c = 11.7429 Å
α = 90.00°, β = 90.00°, γ = 120.00°
Space group R-3 (No. 148, hexagonal axes)
Unique sites:
Ge: 0.0000 0.0000 0.0000 [3 per cell]
Ge: 0.0000 0.0000 0.5000 [3 per cell]
Pd: 0.0373 0.5838 0.2040 [18 per cell]
Pd: 0.0405 0.8574 0.3057 [18 per cell]
Pt: 0.0718 0.2575 0.9189 [18 per cell]

We find version i to be the most stable, with the next structure 0.082 eV/atom higher.

Version i
The following is a DFT calculation (PBE-GGA) of crystalline Ge2PdPt3 at its relaxed geometry.

## Properties
M_tot (μB per atom): 0.000

a = 5.473 Å, b = 12.896 Å, c = 5.473 Å
α = 90.00°, β = 90.00°, γ = 90.00°
Space group Ibam (No. 72)
Unique sites:
Ge: 0.249 0.132 0.000 [8 per cell]
Pd: 0.000 0.500 0.250 [4 per cell]
Pt: 0.000 0.000 0.250 [4 per cell]
Pt: 0.244 0.319 0.000 [8 per cell]

Version ii
The following is a DFT calculation (PBE-GGA) of crystalline Ge2PdPt3 at its relaxed geometry.

## Properties
M_tot (μB per atom): 0.000

a = 3.781 Å, b = 7.677 Å, c = 6.583 Å
α = 90.00°, β = 90.00°, γ = 90.00°
Space group Pmc2_1 (No. 26)
Unique sites:
Ge: 0.000 0.129 0.000 [2 per cell]
Ge: 0.500 0.367 0.499 [2 per cell]
Pd: 0.500 0.085 0.291 [2 per cell]
Pt: 0.000 0.171 0.620 [2 per cell]
Pt: 0.000 0.397 0.220 [2 per cell]
Pt: 0.500 0.333 0.885 [2 per cell]

We find version ii to be the most stable, with the next structure 0.070 eV/atom higher.

Version i
The following is a DFT calculation (PBE-GGA) of crystalline GePdPt3 at its relaxed geometry.

## Properties
M_tot (μB per atom): 0.000

a = 4.329 Å, b = 20.405 Å, c = 3.544 Å
α = 90.00°, β = 90.00°, γ = 90.00°
Space group Cmcm (No. 63)
Unique sites:
Ge: 0.000 0.146 0.250 [4 per cell]
Pd: 0.000 0.347 0.250 [4 per cell]
Pt: 0.000 0.057 0.750 [4 per cell]
Pt: 0.000 0.238 0.750 [4 per cell]
Pt: 0.000 0.452 0.750 [4 per cell]

Version ii
The following is a DFT calculation (PBE-GGA) of crystalline GePdPt3 at its relaxed geometry.

## Properties
M_tot (μB per atom): 0.000

a = 9.074 Å, b = 4.211 Å, c = 8.933 Å
α = 90.00°, β = 108.46°, γ = 90.00°
Space group P2_1/c (No. 14)
Unique sites:
Ge: 0.198 0.134 0.396 [4 per cell]
Pd: 0.195 0.608 0.151 [4 per cell]
Pt: 0.020 0.620 0.366 [4 per cell]
Pt: 0.360 0.629 0.471 [4 per cell]
Pt: 0.417 0.118 0.272 [4 per cell]

We find version ii to be the most stable, with the next structure 0.006 eV/atom higher.

Version i
The following is a DFT calculation (PBE-GGA) of crystalline Ge2Pd2Pt at its relaxed geometry.

## Properties
M_tot (μB per atom): 0.000

a = 6.910 Å, b = 6.910 Å, c = 3.313 Å
α = 90.00°, β = 90.00°, γ = 90.00°
Space group P4/mbm (No. 127)
Unique sites:
Ge: 0.152 0.348 0.000 [4 per cell]
Pd: 0.144 0.644 0.500 [4 per cell]
Pt: 0.000 0.000 0.000 [2 per cell]

Version ii
The following is a DFT calculation (PBE-GGA) of crystalline Ge2Pd2Pt at its relaxed geometry.

## Properties
M_tot (μB per atom): 0.000

a = 3.877 Å, b = 14.007 Å, c = 5.988 Å
α = 90.00°, β = 90.00°, γ = 90.00°
Space group Cmc2_1 (No. 36)
Unique sites:
Ge: 0.000 0.046 0.000 [4 per cell]
Ge: 0.000 0.286 0.152 [4 per cell]
Pd: 0.000 0.337 0.570 [4 per cell]
Pd: 0.000 0.467 0.205 [4 per cell]
Pt: 0.000 0.142 0.430 [4 per cell]

We find version ii to be the most stable, with the next structure 0.095 eV/atom higher.

Version i
The following is a DFT calculation (PBE-GGA) of crystalline GePd8Pt2 at its relaxed geometry.

## Properties
M_tot (μB per atom): 0.000

a = 14.199 Å, b = 3.970 Å, c = 6.175 Å
α = 90.00°, β = 104.82°, γ = 90.00°
Space group C2/m (No. 12)
Unique sites:
Ge: 0.000 0.000 0.000 [2 per cell]
Pd: 0.044 0.500 0.730 [4 per cell]
Pd: 0.090 0.000 0.444 [4 per cell]
Pd: 0.135 0.500 0.177 [4 per cell]
Pd: 0.180 0.000 0.908 [4 per cell]
Pt: 0.225 0.500 0.632 [4 per cell]

Version ii
The following is a DFT calculation (PBE-GGA) of crystalline GePd8Pt2 at its relaxed geometry.

## Properties
M_tot (μB per atom): 0.000

a = 11.926 Å, b = 6.513 Å, c = 5.232 Å
α = 90.00°, β = 101.78°, γ = 90.00°
Space group C2/m (No. 12)
Unique sites:
Ge: 0.000 0.000 0.000 [2 per cell]
Pd: 0.089 0.500 0.705 [4 per cell]
Pd: 0.101 0.299 0.205 [8 per cell]
Pd: 0.205 0.000 0.949 [4 per cell]
Pt: 0.222 0.000 0.469 [4 per cell]

We find version i to be the most stable, with the next structure 0.337 eV/atom higher.

Version i
The following is a DFT calculation (PBE-GGA) of crystalline Pu5Ge3Pd at its relaxed geometry.

## Properties
M_tot (μB per atom): 0.800

a = 11.096 Å, b = 8.439 Å, c = 9.187 Å
α = 90.00°, β = 101.20°, γ = 90.00°
Space group C2/m (No. 12)
Unique sites:
Pu: 0.000 0.173 0.000 [4 per cell]
Pu: 0.017 0.000 0.635 [4 per cell]
Pu: 0.143 0.246 0.677 [8 per cell]
Pu: 0.232 0.000 0.929 [4 per cell]
Ge: 0.000 0.500 0.000 [2 per cell]
Ge: 0.000 0.500 0.500 [2 per cell]
Ge: 0.183 0.000 0.217 [4 per cell]
Ge: 0.247 0.000 0.503 [4 per cell]
Pd: 0.087 0.500 0.268 [4 per cell]

Version ii
The following is a DFT calculation (PBE-GGA) of crystalline Pu5Ge3Pd at its relaxed geometry.

## Properties
M_tot (μB per atom): 3.005

a = 8.9736 Å, b = 8.9736 Å, c = 5.9288 Å
α = 90.00°, β = 90.00°, γ = 120.00°
Space group P6_3/mcm (No. 193)
Unique sites:
Pu: 0.0000 0.2819 0.2500 [6 per cell]
Pu: 0.3333 0.6667 0.0000 [4 per cell]
Ge: 0.0000 0.3826 0.7500 [6 per cell]
Pd: 0.0000 0.0000 0.0000 [2 per cell]

We find version ii to be the most stable, with the next structure 0.401 eV/atom higher.